No. 1
{"formula": "PrSnPdAu", "functional": "PBE", "state": "relaxed", "dft_energy_ev_per_atom": -5.059, "magmom_total_mub_per_fu": 0.01, "spacegroup": "P6_3mc (186)", "lattice": [[4.7325, 0.0000, 0.0000], [-2.3663, 4.0985, 0.0000], [0.0000, 0.0000, 9.3424]], "species": ["Pr", "Pr", "Sn", "Sn", "Pd", "Pd", "Au", "Au"], "fractional_positions": [[0.3333, 0.6667, 0.0000], [0.6667, 0.3333, 0.5000], [0.0000, 0.0000, 0.2335], [0.0000, 0.0000, 0.7335], [0.3333, 0.6667, 0.6610], [0.6667, 0.3333, 0.1610], [0.3333, 0.6667, 0.3414], [0.6667, 0.3333, 0.8414]]}

No. 2
{"formula": "PrSiGe", "functional": "PBE", "state": "relaxed", "dft_energy_ev_per_atom": -4.981, "magmom_total_mub_per_fu": 0.00, "spacegroup": "F-43m (216)", "lattice": [[0.0000, 3.3618, 3.3618], [3.3618, 0.0000, 3.3618], [3.3618, 3.3618, 0.0000]], "species": ["Pr", "Si", "Ge"], "fractional_positions": [[0.0000, 0.0000, 0.0000], [0.5000, 0.5000, 0.5000], [0.2500, 0.2500, 0.2500]]}

No. 3
{"formula": "NbCdIn", "functional": "PBE", "state": "relaxed", "dft_energy_ev_per_atom": -3.887, "magmom_total_mub_per_fu": 0.07, "spacegroup": "F-43m (216)", "lattice": [[0.0000, 3.3236, 3.3236], [3.3236, 0.0000, 3.3236], [3.3236, 3.3236, 0.0000]], "species": ["Nb", "Cd", "In"], "fractional_positions": [[0.0000, 0.0000, 0.0000], [0.7500, 0.7500, 0.7500], [0.2500, 0.2500, 0.2500]]}

No. 4
{"formula": "LuNiBiW", "functional": "PBE", "state": "relaxed", "dft_energy_ev_per_atom": -5.990, "magmom_total_mub_per_fu": 3.25, "spacegroup": "F-43m (216)", "lattice": [[0.0000, 3.4353, 3.4353], [3.4353, 0.0000, 3.4353], [3.4353, 3.4353, 0.0000]], "species": ["Lu", "Ni", "Bi", "W"], "fractional_positions": [[0.0000, 0.0000, 0.0000], [0.5000, 0.5000, 0.5000], [0.2500, 0.2500, 0.2500], [0.7500, 0.7500, 0.7500]]}

No. 5
{"formula": "MgBeNi", "functional": "PBE", "state": "relaxed", "dft_energy_ev_per_atom": -2.917, "magmom_total_mub_per_fu": 0.00, "spacegroup": "F-43m (216)", "lattice": [[0.0000, 2.8362, 2.8362], [2.8362, 0.0000, 2.8362], [2.8362, 2.8362, 0.0000]], "species": ["Mg", "Be", "Ni"], "fractional_positions": [[0.0000, 0.0000, 0.0000], [0.7500, 0.7500, 0.7500], [0.2500, 0.2500, 0.2500]]}

No. 6
{"formula": "ZnPbW2", "functional": "PBE", "state": "relaxed", "dft_energy_ev_per_atom": -6.819, "magmom_total_mub_per_fu": 0.00, "spacegroup": "F-43m (216)", "lattice": [[0.0000, 3.2883, 3.2883], [3.2883, 0.0000, 3.2883], [3.2883, 3.2883, 0.0000]], "species": ["Zn", "Pb", "W", "W"], "fractional_positions": [[0.0000, 0.0000, 0.0000], [0.7500, 0.7500, 0.7500], [0.2500, 0.2500, 0.2500], [0.5000, 0.5000, 0.5000]]}

No. 7
{"formula": "LiTbDy", "functional": "PBE", "state": "relaxed", "dft_energy_ev_per_atom": -3.192, "magmom_total_mub_per_fu": 0.06, "spacegroup": "F-43m (216)", "lattice": [[0.0000, 3.5640, 3.5640], [3.5640, 0.0000, 3.5640], [3.5640, 3.5640, 0.0000]], "species": ["Li", "Tb", "Dy"], "fractional_positions": [[0.0000, 0.0000, 0.0000], [0.2500, 0.2500, 0.2500], [0.7500, 0.7500, 0.7500]]}

No. 8
{"formula": "CsDy2Br5", "functional": "PBE", "state": "relaxed", "dft_energy_ev_per_atom": -3.843, "magmom_total_mub_per_fu": 1.07, "spacegroup": "P2_1/m (11)", "lattice": [[9.6606, 0.0000, 0.0000], [0.0000, 5.7101, 0.0000], [-2.9157, 0.0000, 10.8401]], "species": ["Cs", "Cs", "Dy", "Dy", "Dy", "Dy", "Br", "Br", "Br", "Br", "Br", "Br", "Br", "Br", "Br", "Br"], "fractional_positions": [[0.0191, 0.2500, 0.2733], [0.9809, 0.7500, 0.7267], [0.3844, 0.2500, 0.0219], [0.4669, 0.2500, 0.7319], [0.5331, 0.7500, 0.2681], [0.6156, 0.7500, 0.9781], [0.0943, 0.2500, 0.9422], [0.1874, 0.2500, 0.6065], [0.2910, 0.7500, 0.3513], [0.3279, 0.7500, 0.0186], [0.4760, 0.7500, 0.7163], [0.5240, 0.2500, 0.2837], [0.6721, 0.2500, 0.9814], [0.7090, 0.2500, 0.6487], [0.8126, 0.7500, 0.3935], [0.9057, 0.7500, 0.0578]]}

Please write out number 7 again, unchanged.
{"formula": "LiTbDy", "functional": "PBE", "state": "relaxed", "dft_energy_ev_per_atom": -3.192, "magmom_total_mub_per_fu": 0.06, "spacegroup": "F-43m (216)", "lattice": [[0.0000, 3.5640, 3.5640], [3.5640, 0.0000, 3.5640], [3.5640, 3.5640, 0.0000]], "species": ["Li", "Tb", "Dy"], "fractional_positions": [[0.0000, 0.0000, 0.0000], [0.2500, 0.2500, 0.2500], [0.7500, 0.7500, 0.7500]]}

> Which formula does entry 7 have?

LiTbDy